Pr2Y6Ho5 | the Alexandria database | PBE-GGA | relaxed; magnetization = 0.000 μB/atom; density = 6.3 g/cm3; DOS at the Fermi energy = 35.81 states/eV per cell; total DFT energy (no corrections) = -5.38 eV per atom
1.0
11.773 0.000 0.000
0.000 20.283 0.000
0.000 0.000 3.594
Pr Y Ho
4 12 10
direct
0.165 0.215 0.000
0.335 0.715 0.000
0.665 0.285 0.000
0.835 0.785 0.000
0.057 0.922 0.000
0.082 0.634 0.000
0.178 0.374 0.500
0.322 0.874 0.500
0.418 0.134 0.000
0.443 0.422 0.000
0.557 0.578 0.000
0.582 0.866 0.000
0.678 0.126 0.500
0.822 0.626 0.500
0.918 0.366 0.000
0.943 0.078 0.000
0.000 0.500 0.500
0.095 0.777 0.500
0.200 0.050 0.500
0.300 0.550 0.500
0.405 0.277 0.500
0.500 0.000 0.500
0.595 0.723 0.500
0.700 0.450 0.500
0.800 0.950 0.500
0.905 0.223 0.500